## P
The following is a DFT calculation (PBE) of a relaxed H2IrPb crystal.

Lattice parameters (Å, degrees): 4.446 4.446 10.734 90.00 90.00 90.00
Space group I-42d (No. 122)
Inequivalent atoms, fractional coordinates:
1 H 0.004 0.250 0.125 x8
2 Ir 0.000 0.000 0.000 x4
3 Pb 0.000 0.000 0.500 x4

**Volume**: 53.05 Å³/f.u.

## Q
The following is a DFT calculation (PBE) of a relaxed H2IrPb crystal.

Lattice parameters (Å, degrees): 5.823 5.823 5.823 90.00 90.00 90.00
Space group Fm-3m (No. 225)
Inequivalent atoms, fractional coordinates:
1 H 0.250 0.250 0.250 x8
2 Ir 0.000 0.000 0.000 x4
3 Pb 0.000 0.000 0.500 x4

**Volume**: 49.37 Å³/f.u.

Which structure is the least stable? The one labeled Q.